No. 1
# ZrSi2P, PBEsol geometry, DFT meta-GGA SCAN
data_ZrSi2P
_space_group_name_H-M_alt 'P 1'
_space_group_IT_number 1
_cell_length_a 5.298
_cell_length_b 5.298
_cell_length_c 5.298
_cell_angle_alpha 139.30
_cell_angle_beta 139.30
_cell_angle_gamma 58.92
loop_
_space_group_symop_operation_xyz
'x,y,z'
loop_
_atom_site_label
_atom_site_fract_x
_atom_site_fract_y
_atom_site_fract_z
Zr1 0.000 0.000 0.000
Si1 0.250 0.750 0.500
Si2 0.750 0.250 0.500
P1 0.500 0.500 0.000
# - Total energy: -15.53 eV/atom
# - Size of the total moment: 0.00 μB/f.u.

=====

No. 2
# ZrSi2P, PBEsol geometry, DFT meta-GGA SCAN
data_ZrSi2P
_space_group_name_H-M_alt 'P 1'
_space_group_IT_number 1
_cell_length_a 5.075
_cell_length_b 5.075
_cell_length_c 5.075
_cell_angle_alpha 135.96
_cell_angle_beta 135.96
_cell_angle_gamma 64.04
loop_
_space_group_symop_operation_xyz
'x,y,z'
loop_
_atom_site_label
_atom_site_fract_x
_atom_site_fract_y
_atom_site_fract_z
Zr1 0.000 0.000 0.000
Si1 0.250 0.750 0.500
Si2 0.500 0.500 0.000
P1 0.750 0.250 0.500
# - Total energy: -15.37 eV/atom
# - Size of the total moment: 0.00 μB/f.u.

=====

No. 3
# SrSnP, PBEsol geometry, DFT meta-GGA SCAN
data_SrSnP
_space_group_name_H-M_alt 'P 1'
_space_group_IT_number 1
_cell_length_a 4.317
_cell_length_b 4.317
_cell_length_c 8.881
_cell_angle_alpha 90.00
_cell_angle_beta 90.00
_cell_angle_gamma 90.00
loop_
_space_group_symop_operation_xyz
'x,y,z'
loop_
_atom_site_label
_atom_site_fract_x
_atom_site_fract_y
_atom_site_fract_z
Sr1 0.250 0.250 0.168
Sr2 0.750 0.750 0.832
Sn1 0.250 0.250 0.552
Sn2 0.750 0.750 0.448
P1 0.250 0.250 0.829
P2 0.750 0.750 0.171
# - Energy of formation from the pure elements: -0.853 eV/atom
# - Size of the total moment: 0.00 μB/f.u.

=====

No. 4
# TaSnP3, PBEsol geometry, DFT meta-GGA SCAN
data_TaSnP3
_space_group_name_H-M_alt 'P 1'
_space_group_IT_number 1
_cell_length_a 4.795
_cell_length_b 4.795
_cell_length_c 4.795
_cell_angle_alpha 90.00
_cell_angle_beta 90.00
_cell_angle_gamma 90.00
loop_
_space_group_symop_operation_xyz
'x,y,z'
loop_
_atom_site_label
_atom_site_fract_x
_atom_site_fract_y
_atom_site_fract_z
Ta1 0.000 0.000 0.000
Sn1 0.500 0.500 0.500
P1 0.000 0.000 0.500
P2 0.000 0.500 0.000
P3 0.500 0.000 0.000
# - Energy of formation from the pure elements: 0.350 eV/atom
# - Size of the total moment: 0.00 μB/f.u.

=====

No. 5
# Tc3SnP, PBEsol geometry, DFT meta-GGA SCAN
data_Tc3SnP
_space_group_name_H-M_alt 'P 1'
_space_group_IT_number 1
_cell_length_a 4.789
_cell_length_b 4.789
_cell_length_c 4.789
_cell_angle_alpha 90.00
_cell_angle_beta 90.00
_cell_angle_gamma 90.00
loop_
_space_group_symop_operation_xyz
'x,y,z'
loop_
_atom_site_label
_atom_site_fract_x
_atom_site_fract_y
_atom_site_fract_z
Tc1 0.000 0.000 0.500
Tc2 0.000 0.500 0.000
Tc3 0.500 0.000 0.000
Sn1 0.000 0.000 0.000
P1 0.500 0.500 0.500
# - Energy of formation from the pure elements: 2.447 eV/atom
# - Size of the total moment: 7.91 μB/f.u.

=====

No. 6
# Sn2TeP2, PBEsol geometry, DFT meta-GGA SCAN
data_Sn2TeP2
_space_group_name_H-M_alt 'P 1'
_space_group_IT_number 1
_cell_length_a 8.305
_cell_length_b 8.305
_cell_length_c 8.305
_cell_angle_alpha 153.34
_cell_angle_beta 153.34
_cell_angle_gamma 38.06
loop_
_space_group_symop_operation_xyz
'x,y,z'
loop_
_atom_site_label
_atom_site_fract_x
_atom_site_fract_y
_atom_site_fract_z
Sn1 0.114 0.114 0.000
Sn2 0.886 0.886 0.000
Te1 0.500 0.500 0.000
P1 0.250 0.750 0.500
P2 0.750 0.250 0.500
# - Total energy: -25.69 eV/atom
# - Size of the total moment: 0.00 μB/f.u.

=====

No. 7
# Ti3SnP, PBEsol geometry, DFT meta-GGA SCAN
data_Ti3SnP
_space_group_name_H-M_alt 'P 1'
_space_group_IT_number 1
_cell_length_a 4.511
_cell_length_b 4.511
_cell_length_c 4.511
_cell_angle_alpha 90.00
_cell_angle_beta 90.00
_cell_angle_gamma 90.00
loop_
_space_group_symop_operation_xyz
'x,y,z'
loop_
_atom_site_label
_atom_site_fract_x
_atom_site_fract_y
_atom_site_fract_z
Ti1 0.000 0.000 0.500
Ti2 0.000 0.500 0.000
Ti3 0.500 0.000 0.000
Sn1 0.500 0.500 0.500
P1 0.000 0.000 0.000
# - Energy of formation from the pure elements: -0.434 eV/atom
# - Size of the total moment: 0.00 μB/f.u.

=====

No. 8
# Sn3PW, PBEsol geometry, DFT meta-GGA SCAN
data_Sn3PW
_space_group_name_H-M_alt 'P 1'
_space_group_IT_number 1
_cell_length_a 4.960
_cell_length_b 4.960
_cell_length_c 4.960
_cell_angle_alpha 90.00
_cell_angle_beta 90.00
_cell_angle_gamma 90.00
loop_
_space_group_symop_operation_xyz
'x,y,z'
loop_
_atom_site_label
_atom_site_fract_x
_atom_site_fract_y
_atom_site_fract_z
Sn1 0.000 0.000 0.500
Sn2 0.000 0.500 0.000
Sn3 0.500 0.000 0.000
P1 0.000 0.000 0.000
W1 0.500 0.500 0.500
# - Energy of formation from the pure elements: 1.557 eV/atom
# - Size of the total moment: 3.93 μB/f.u.

=====

Please write out number 2 again, unchanged.
# ZrSi2P, PBEsol geometry, DFT meta-GGA SCAN
data_ZrSi2P
_space_group_name_H-M_alt 'P 1'
_space_group_IT_number 1
_cell_length_a 5.075
_cell_length_b 5.075
_cell_length_c 5.075
_cell_angle_alpha 135.96
_cell_angle_beta 135.96
_cell_angle_gamma 64.04
loop_
_space_group_symop_operation_xyz
'x,y,z'
loop_
_atom_site_label
_atom_site_fract_x
_atom_site_fract_y
_atom_site_fract_z
Zr1 0.000 0.000 0.000
Si1 0.250 0.750 0.500
Si2 0.500 0.500 0.000
P1 0.750 0.250 0.500
# - Total energy: -15.37 eV/atom
# - Size of the total moment: 0.00 μB/f.u.

=====

Question: What is the size of the total moment in the first record?
Answer: 0.00 μB/f.u.